Record 1
Crystalline FeRh at its relaxed geometry, computed with PBE.

Cell: 6.0240 6.0240 6.0240 Å, 90.00 90.00 90.00°
Fractional coordinates of all 16 atoms:
Fe  0.1250  0.1250  0.1250
Fe  0.1250  0.6250  0.6250
Fe  0.3750  0.3750  0.8750
Fe  0.3750  0.8750  0.3750
Fe  0.6250  0.1250  0.6250
Fe  0.6250  0.6250  0.1250
Fe  0.8750  0.3750  0.3750
Fe  0.8750  0.8750  0.8750
Rh  0.1250  0.1250  0.6250
Rh  0.1250  0.6250  0.1250
Rh  0.3750  0.3750  0.3750
Rh  0.3750  0.8750  0.8750
Rh  0.6250  0.1250  0.1250
Rh  0.6250  0.6250  0.6250
Rh  0.8750  0.3750  0.8750
Rh  0.8750  0.8750  0.3750

Summary:
energy of formation = 138 meV/atom
spin magnetization = 1.92 μB per atom
Fermi-level density of states = 21.308 states/eV per cell

=====

Record 2
Crystalline Fe3Rh at its relaxed geometry, computed with PBE.

Cell: 2.9320 2.9320 5.9103 Å, 90.00 90.00 90.00°
Fractional coordinates of all 4 atoms:
Fe  0.0000  0.0000  0.0000
Fe  0.5000  0.5000  0.2367
Fe  0.5000  0.5000  0.7633
Rh  0.0000  0.0000  0.5000

Summary:
energy of formation = -43 meV/atom
spin magnetization = 2.31 μB per atom
Fermi-level density of states = 2.244 states/eV per cell

=====

Record 3
Crystalline FeRh2 at its relaxed geometry, computed with PBE.

Cell: 2.7086 2.7086 12.8416 Å, 90.00 90.00 120.00°
Fractional coordinates of all 6 atoms:
Fe  0.3333  0.6667  0.4230
Fe  0.6667  0.3333  0.5770
Rh  0.0000  0.0000  0.2621
Rh  0.0000  0.0000  0.7379
Rh  0.3333  0.6667  0.0862
Rh  0.6667  0.3333  0.9138

Summary:
energy of formation = 15 meV/atom
spin magnetization = 0.98 μB per atom
Fermi-level density of states = 6.334 states/eV per cell

=====

Record 4
Crystalline FeRh at its relaxed geometry, computed with PBE.

Cell: 4.2045 4.2045 5.3020 Å, 90.00 90.00 120.00°
Fractional coordinates of all 6 atoms:
Fe  0.0000  0.0000  0.0000
Fe  0.0000  0.0000  0.4978
Fe  0.3333  0.6667  0.1352
Rh  0.3333  0.6667  0.6242
Rh  0.6667  0.3333  0.3362
Rh  0.6667  0.3333  0.8464

Summary:
energy of formation = 65 meV/atom
spin magnetization = 1.83 μB per atom
Fermi-level density of states = 8.684 states/eV per cell

=====

Record 5
Crystalline FeRh4 at its relaxed geometry, computed with PBE.

Cell: 2.7132 2.7132 18.7026 Å, 90.00 90.00 90.00°
Fractional coordinates of all 10 atoms:
Fe  0.0000  0.0000  0.0000
Fe  0.5000  0.5000  0.5000
Rh  0.0000  0.0000  0.1993
Rh  0.0000  0.0000  0.4047
Rh  0.0000  0.0000  0.5953
Rh  0.0000  0.0000  0.8007
Rh  0.5000  0.5000  0.0953
Rh  0.5000  0.5000  0.3007
Rh  0.5000  0.5000  0.6993
Rh  0.5000  0.5000  0.9047

Summary:
energy relative to the lowest polymorph listed for this composition = 0.011 eV per atom
energy of formation = -2 meV/atom
spin magnetization = 0.53 μB per atom
Fermi-level density of states = 15.617 states/eV per cell

=====

Record 6
Crystalline FeRh at its relaxed geometry, computed with PBE.

Cell: 2.8847 4.3102 12.9582 Å, 90.00 90.00 90.00°
Fractional coordinates of all 12 atoms:
Fe  0.0000  0.0000  0.0000
Fe  0.0000  0.0000  0.3383
Fe  0.0000  0.5000  0.5000
Fe  0.0000  0.5000  0.8383
Fe  0.5000  0.0000  0.4888
Fe  0.5000  0.5000  0.9888
Rh  0.0000  0.0000  0.6444
Rh  0.0000  0.5000  0.1444
Rh  0.5000  0.0000  0.1773
Rh  0.5000  0.0000  0.8337
Rh  0.5000  0.5000  0.3337
Rh  0.5000  0.5000  0.6773

Summary:
energy of formation = 46 meV/atom
spin magnetization = 1.73 μB per atom
Fermi-level density of states = 13.697 states/eV per cell

=====

Record 7
Crystalline Fe4Rh at its relaxed geometry, computed with PBE.

Cell: 11.9581 4.0924 2.5819 Å, 90.00 97.91 90.00°
Fractional coordinates of all 10 atoms:
Fe  0.1028  0.0000  0.4201
Fe  0.2037  0.5000  0.8010
Fe  0.2963  0.0000  0.1990
Fe  0.3972  0.5000  0.5799
Fe  0.6028  0.5000  0.4201
Fe  0.7037  0.0000  0.8010
Fe  0.7963  0.5000  0.1990
Fe  0.8972  0.0000  0.5799
Rh  0.0000  0.5000  0.0000
Rh  0.5000  0.0000  0.0000

Summary:
energy relative to the lowest polymorph listed for this composition = 0.043 eV per atom
energy of formation = 13 meV/atom
spin magnetization = 2.29 μB per atom
Fermi-level density of states = 7.340 states/eV per cell

=====

Record 8
Crystalline FeRh2 at its relaxed geometry, computed with PBE.

Cell: 11.8097 11.8097 11.8097 Å, 161.60 161.60 26.13°
Fractional coordinates of all 12 atoms:
Fe  0.2925  0.5425  0.7500
Fe  0.4575  0.7075  0.7500
Fe  0.5425  0.2925  0.2500
Fe  0.7075  0.4575  0.2500
Rh  0.0414  0.7914  0.2500
Rh  0.1257  0.3757  0.7500
Rh  0.2086  0.9586  0.2500
Rh  0.3757  0.1257  0.2500
Rh  0.6243  0.8743  0.7500
Rh  0.7914  0.0414  0.7500
Rh  0.8743  0.6243  0.2500
Rh  0.9586  0.2086  0.7500

Summary:
energy of formation = -26 meV/atom
spin magnetization = 1.14 μB per atom
Fermi-level density of states = 14.136 states/eV per cell

=====

Record 9
Crystalline FeRh2 at its relaxed geometry, computed with PBE.

Cell: 2.7171 13.7639 4.3617 Å, 90.00 90.00 90.00°
Fractional coordinates of all 12 atoms:
Fe  0.0000  0.2233  0.2500
Fe  0.0000  0.7767  0.7500
Fe  0.5000  0.2767  0.7500
Fe  0.5000  0.7233  0.2500
Rh  0.0000  0.1167  0.7500
Rh  0.0000  0.4397  0.7500
Rh  0.0000  0.5603  0.2500
Rh  0.0000  0.8833  0.2500
Rh  0.5000  0.0603  0.2500
Rh  0.5000  0.3833  0.2500
Rh  0.5000  0.6167  0.7500
Rh  0.5000  0.9397  0.7500

Summary:
energy of formation = 21 meV/atom
spin magnetization = 1.03 μB per atom
Fermi-level density of states = 19.942 states/eV per cell

=====

Record 10
Crystalline FeRh2 at its relaxed geometry, computed with PBE.

Cell: 4.2656 4.2656 5.2632 Å, 90.00 90.00 120.00°
Fractional coordinates of all 6 atoms:
Fe  0.3333  0.6667  0.2500
Fe  0.6667  0.3333  0.7500
Rh  0.0000  0.0000  0.0000
Rh  0.0000  0.0000  0.5000
Rh  0.3333  0.6667  0.7500
Rh  0.6667  0.3333  0.2500

Summary:
energy of formation = 37 meV/atom
spin magnetization = 1.31 μB per atom
Fermi-level density of states = 8.445 states/eV per cell